Entry 1:
! SbHSe2Br | Alexandria via LeMat-Bulk | PBE | optimized geometry; values from VASP
&SYSTEM
  ibrav = 0, nat = 5, ntyp = 4
/
ATOMIC_SPECIES
Sb 121.76 Sb.upf
H 1.01 H.upf
Se 78.96 Se.upf
Br 79.90 Br.upf
CELL_PARAMETERS angstrom
5.3417 0.0000 0.0000
0.0000 5.3417 0.0000
0.0000 0.0000 5.6811
ATOMIC_POSITIONS angstrom
Sb 0.0000 0.0000 0.0000
H 2.6709 2.6709 2.8405
Se 0.0000 2.6709 0.0000
Se 2.6709 0.0000 0.0000
Br 0.0000 0.0000 2.8405
! Mass density = 3.69 Mg/m³
! Space group = P4/mmm, No. 123
! Relative energy among the computed polymorphs = 215.7 meV per atom


Entry 2:
! Sr2HgHPb | Alexandria via LeMat-Bulk | PBE | optimized geometry; values from VASP
&SYSTEM
  ibrav = 0, nat = 5, ntyp = 4
/
ATOMIC_SPECIES
Sr 87.62 Sr.upf
Hg 200.59 Hg.upf
H 1.01 H.upf
Pb 207.20 Pb.upf
CELL_PARAMETERS angstrom
5.1882 0.0000 0.0000
0.0000 5.1882 0.0000
0.0000 0.0000 4.8903
ATOMIC_POSITIONS angstrom
Sr 0.0000 2.5941 0.0000
Sr 2.5941 0.0000 0.0000
Hg 0.0000 0.0000 2.4452
H 0.0000 0.0000 0.0000
Pb 2.5941 2.5941 2.4452
! Uncorrected energy = -12.77 eV per formula unit
! Mass density = 7.37 Mg/m³
! Space group = P4/mmm, No. 123


Entry 3:
! Cs2TmP2S6 | Alexandria via LeMat-Bulk | PBE | optimized geometry; values from VASP
&SYSTEM
  ibrav = 0, nat = 11, ntyp = 4
/
ATOMIC_SPECIES
Cs 132.91 Cs.upf
Tm 168.93 Tm.upf
P 30.97 P.upf
S 32.06 S.upf
CELL_PARAMETERS angstrom
6.1295 -3.5111 0.0000
6.1295 3.5111 0.0000
-3.8362 0.0000 7.1471
ATOMIC_POSITIONS angstrom
Cs 1.9607 0.0000 1.3808
Cs 6.4621 0.0000 5.7663
Tm -1.9181 0.0000 3.5735
P 2.2896 0.0000 5.8153
P 6.1332 0.0000 1.3318
S 4.9820 1.7097 1.6528
S 0.5389 0.0000 4.6293
S 3.4408 1.7097 5.4943
S 4.9820 -1.7097 1.6528
S 7.8839 0.0000 2.5178
S 3.4408 -1.7097 5.4943
! Formation energy without anion corrections = -0.875 eV per atom
! Mass density = 3.72 Mg/m³
! Space group = C2/m, No. 12


Entry 4:
! ZnPbW2 | Alexandria via LeMat-Bulk | PBE | optimized geometry; values from VASP
&SYSTEM
  ibrav = 0, nat = 4, ntyp = 3
/
ATOMIC_SPECIES
Zn 65.41 Zn.upf
Pb 207.20 Pb.upf
W 183.84 W.upf
CELL_PARAMETERS angstrom
2.8619 0.0000 0.0000
0.0000 4.1629 0.0000
0.0000 0.0000 6.3771
ATOMIC_POSITIONS angstrom
Zn 0.0000 0.0000 0.0000
Pb 0.0000 0.0000 3.1886
W 1.4309 2.0815 1.2246
W 1.4309 2.0815 5.1525
! Mass density = 13.99 Mg/m³
! Space group = Pmmm, No. 47
! Relative energy among the computed polymorphs = 376.5 meV per atom